1.
The following is a PBE-GGA calculation of NiTeS2Cl after structural relaxation, from Alexandria via LeMat-Bulk.

Summary:
- Space-group type: P4/mmm, No. 123
- Offset from the most stable computed form: 0 meV per atom

The structure in POSCAR format:
```
NiTeS2Cl
1.0
4.579 0.000 0.000
0.000 4.579 0.000
0.000 0.000 4.448
Ni Te S Cl
1 1 2 1
Direct
0.000 0.000 0.000 Ni
0.500 0.500 0.500 Te
0.000 0.500 0.000 S
0.500 0.000 0.000 S
0.000 0.000 0.500 Cl
```

---

2.
The following is a PBE-GGA calculation of LaCr2CS after structural relaxation, from Alexandria via LeMat-Bulk.

Summary:
- Space-group type: P4/mmm, No. 123
- Raw total energy: -7.509 eV per atom

The structure in POSCAR format:
```
LaCr2CS
1.0
3.984 0.000 0.000
0.000 3.984 0.000
0.000 0.000 6.546
La Cr C S
1 2 1 1
Direct
0.000 0.000 0.000 La
0.000 0.500 0.500 Cr
0.500 0.000 0.500 Cr
0.500 0.500 0.500 C
0.500 0.500 0.000 S
```

---

3.
The following is a PBE-GGA calculation of Rb2FeHPt after structural relaxation, from Alexandria via LeMat-Bulk.

Summary:
- Space-group type: P4/mmm, No. 123
- Raw total energy: -3.291 eV per atom

The structure in POSCAR format:
```
Rb2FeHPt
1.0
6.466 0.000 0.000
0.000 6.466 0.000
0.000 0.000 3.261
Rb Fe H Pt
2 1 1 1
Direct
0.000 0.500 0.000 Rb
0.500 0.000 0.000 Rb
0.000 0.000 0.500 Fe
0.500 0.500 0.500 H
0.500 0.500 0.000 Pt
```

---

4.
The following is a PBE-GGA calculation of Tm2MgZn12Cu3 after structural relaxation, from Alexandria via LeMat-Bulk.

Summary:
- Space-group type: R-3m, No. 166
- Raw total energy: -1.901 eV per atom

The structure in POSCAR format:
```
Tm2MgZn12Cu3
1.0
4.383 2.531 5.553
-4.383 2.531 5.553
0.000 -5.061 5.553
Tm Mg Zn Cu
2 1 12 3
Direct
0.097 0.097 0.097 Tm
0.903 0.903 0.903 Tm
0.500 0.500 0.500 Mg
0.124 0.652 0.652 Zn
0.203 0.203 0.672 Zn
0.203 0.672 0.203 Zn
0.328 0.797 0.797 Zn
0.348 0.348 0.876 Zn
0.348 0.876 0.348 Zn
0.652 0.124 0.652 Zn
0.652 0.652 0.124 Zn
0.672 0.203 0.203 Zn
0.797 0.328 0.797 Zn
0.797 0.797 0.328 Zn
0.876 0.348 0.348 Zn
0.000 0.500 0.500 Cu
0.500 0.000 0.500 Cu
0.500 0.500 0.000 Cu
```

---

Number 1: magnetization 0.00 μB per atom. Number 2: magnetization 1.34 μB per atom. Number 3: magnetization 0.62 μB per atom. Number 4: magnetization 0.00 μB per atom.